DFT (GGA-PBE) results for a geometry-optimized KSe2SN structure.

Cell: 5.909 5.909 3.240 Å, 90.00 90.00 90.00°
Positions (direct):
K 0.500 0.500 0.500
S 0.000 0.000 0.000
Se 0.000 0.500 0.000
Se 0.500 0.000 0.000
N 0.000 0.000 0.500

Properties
Relative energy among the computed polymorphs (eV per formula unit): 0.00
Electronic total energy (eV/atom): -3.66
Uncorrected formation energy (eV per atom): 0.44
Fermi-level density of states (states/eV/atom): 0.91


DFT (GGA-PBE) results for a geometry-optimized Ir2RhBr structure.

Cell: 3.598 2.820 6.889 Å, 89.99 90.00 90.00°
Positions (direct):
Ir 0.000 0.750 0.058
Ir 0.500 0.250 0.244
Rh 0.000 0.750 0.448
Br 0.500 0.750 0.749

Properties
Relative energy among the computed polymorphs (eV per formula unit): 0.00
Electronic total energy (eV/atom): -6.22
Uncorrected formation energy (eV per atom): 0.46
Fermi-level density of states (states/eV/atom): 1.22


DFT (GGA-PBE) results for a geometry-optimized TiCu2SnH structure.

Cell: 3.996 3.996 4.026 Å, 90.00 90.00 90.00°
Positions (direct):
H 0.000 0.000 0.000
Sn 0.500 0.500 0.500
Cu 0.000 0.500 0.000
Cu 0.500 0.000 0.000
Ti 0.000 0.000 0.500

Properties
Electronic total energy (eV/atom): -4.84
Fermi-level density of states (states/eV/atom): 0.08


DFT (GGA-PBE) results for a geometry-optimized NaCd2In2 structure.

Cell: 8.434 8.434 3.759 Å, 90.00 90.00 90.00°
Positions (direct):
Na 0.000 0.000 0.000
Na 0.500 0.500 0.000
Cd 0.371 0.871 0.000
Cd 0.871 0.629 0.000
Cd 0.629 0.129 0.000
Cd 0.129 0.371 0.000
In 0.171 0.671 0.500
In 0.671 0.829 0.500
In 0.829 0.329 0.500
In 0.329 0.171 0.500

Properties
Relative energy among the computed polymorphs (eV per formula unit): 0.07
Electronic total energy (eV/atom): -1.75
Fermi-level density of states (states/eV/atom): 0.38


DFT (GGA-PBE) results for a geometry-optimized ZnInCl3 structure.

Cell: 6.983 8.879 6.885 Å, 59.31 94.06 68.40°
Positions (direct):
Zn 0.957 0.096 0.855
Zn 0.188 0.343 0.539
In 0.439 0.581 0.942
In 0.704 0.858 0.452
Cl 0.202 0.590 0.543
Cl 0.812 0.157 0.105
Cl 0.942 0.848 0.851
Cl 0.824 0.397 0.475
Cl 0.332 0.281 0.289
Cl 0.320 0.041 0.919

Properties
Relative energy among the computed polymorphs (eV per formula unit): 0.01
Electronic total energy (eV/atom): -2.93
Uncorrected formation energy (eV per atom): -1.02
Fermi-level density of states (states/eV/atom): 0.00


DFT (GGA-PBE) results for a geometry-optimized LiCa2Fe structure.

Cell: 8.015 8.015 6.555 Å, 52.31 52.31 90.00°
Last column: magnetic moment on the atom in μB.
Positions (direct):
Ca 0.637 0.125 0.250  -0.09
Ca 0.113 0.625 0.250  -0.09
Ca 0.375 0.363 0.750  -0.09
Ca 0.875 0.887 0.750  -0.09
Fe 0.000 0.000 0.000  2.69
Fe 0.750 0.250 0.500  2.70
Li 0.500 0.500 0.000  -0.03
Li 0.250 0.750 0.500  -0.03

Properties
Electronic total energy (eV/atom): -3.00
Fermi-level density of states (states/eV/atom): 1.38


DFT (GGA-PBE) results for a geometry-optimized La2Nd5Er12 structure.

Cell: 6.194 12.893 12.885 Å, 127.85 85.30 124.17°
Positions (direct):
La 0.737 0.157 0.182
La 0.263 0.843 0.818
Nd 0.211 0.473 0.553
Nd 0.525 0.684 0.132
Nd 0.000 0.000 0.500
Nd 0.475 0.316 0.868
Nd 0.789 0.527 0.447
Er 0.158 0.103 0.289
Er 0.102 0.734 0.026
Er 0.683 0.787 0.921
Er 0.949 0.633 0.237
Er 0.370 0.581 0.342
Er 0.423 0.949 0.605
Er 0.577 0.051 0.395
Er 0.051 0.367 0.763
Er 0.630 0.419 0.658
Er 0.898 0.266 0.974
Er 0.317 0.213 0.079
Er 0.842 0.897 0.711

Properties
Relative energy among the computed polymorphs (eV per formula unit): 0.00
Electronic total energy (eV/atom): -4.63
Fermi-level density of states (states/eV/atom): 1.38


DFT (GGA-PBE) results for a geometry-optimized OsRhW2 structure.

Cell: 9.279 9.279 9.279 Å, 17.29 17.29 17.29°
Positions (direct):
Os 0.499 0.499 0.499
Rh 0.252 0.252 0.252
W 0.996 0.996 0.996
W 0.753 0.753 0.753

Properties
Relative energy among the computed polymorphs (eV per formula unit): 0.79
Electronic total energy (eV/atom): -11.00
Fermi-level density of states (states/eV/atom): 0.92


DFT (GGA-PBE) results for a geometry-optimized YCr2Pt structure.

Cell: 5.050 5.050 5.020 Å, 74.96 74.96 36.09°
Positions (direct):
Cr 0.981 0.981 0.116
Cr 0.519 0.519 0.384
Pt 0.250 0.250 0.250
Y 0.750 0.750 0.750

Properties
Relative energy among the computed polymorphs (eV per formula unit): 0.71
Electronic total energy (eV/atom): -7.86
Fermi-level density of states (states/eV/atom): 1.24


DFT (GGA-PBE) results for a geometry-optimized Cs2Sb2OF10 structure.

Cell: 5.467 7.628 14.215 Å, 79.47 90.00 90.00°
Positions (direct):
Cs 0.590 0.766 0.405
Cs 0.590 0.234 0.095
Cs 0.410 0.234 0.595
Cs 0.410 0.766 0.905
F 0.155 0.908 0.081
F 0.155 0.092 0.419
F 0.845 0.092 0.919
F 0.845 0.908 0.581
F 0.734 0.845 0.181
F 0.734 0.155 0.319
F 0.266 0.155 0.819
F 0.266 0.845 0.681
F 0.861 0.637 0.054
F 0.861 0.363 0.446
F 0.139 0.363 0.946
F 0.139 0.637 0.554
F 0.169 0.789 0.271
F 0.169 0.211 0.229
F 0.831 0.211 0.729
F 0.831 0.789 0.771
F 0.308 0.576 0.137
F 0.308 0.424 0.363
F 0.692 0.424 0.863
F 0.692 0.576 0.637
O 0.872 0.500 0.250
O 0.128 0.500 0.750
Sb 0.019 0.703 0.165
Sb 0.019 0.297 0.335
Sb 0.981 0.297 0.835
Sb 0.981 0.703 0.665

Properties
Electronic total energy (eV/atom): -4.76
Uncorrected formation energy (eV per atom): -2.52
Fermi-level density of states (states/eV/atom): 0.00


DFT (GGA-PBE) results for a geometry-optimized CsGe2Au structure.

Cell: 3.710 3.710 7.972 Å, 90.00 90.00 90.00°
Positions (direct):
Cs 0.500 0.500 0.500
Ge 0.000 0.000 0.846
Ge 0.000 0.000 0.154
Au 0.500 0.500 0.000

Properties
Electronic total energy (eV/atom): -3.31
Fermi-level density of states (states/eV/atom): 0.27


DFT (GGA-PBE) results for a geometry-optimized Sr2UTlO6 structure.

Cell: 6.122 6.149 6.229 Å, 119.58 118.92 90.00°
Positions (direct):
Sr 0.217 0.249 0.499
Sr 0.783 0.751 0.501
U 0.000 0.500 0.000
Tl 0.500 0.000 0.000
O 0.339 0.710 0.419
O 0.151 0.189 0.847
O 0.849 0.342 0.153
O 0.151 0.658 0.847
O 0.849 0.811 0.153
O 0.661 0.290 0.581

Properties
Electronic total energy (eV/atom): -7.24
Uncorrected formation energy (eV per atom): -2.56
Fermi-level density of states (states/eV/atom): 0.48